KTl2Pd3 (PBE, optimized geometry); magnetization = 0.00 μB per formula unit; theoretical density = 8771 kg/m3; symmetry = No. 12; offset from the most stable computed form = 0.048 eV/atom; V = 24.21 A^3/atom
1.0
-1.556 3.831 -0.414
-6.966 -5.087 -0.032
2.800 2.046 8.407
K Tl Pd
2 4 6
direct
0.851 0.703 0.966
0.149 0.297 0.034
0.471 0.941 0.809
0.529 0.059 0.191
0.803 0.606 0.316
0.197 0.394 0.684
0.315 0.630 0.542
0.955 0.910 0.600
0.578 0.156 0.640
0.422 0.844 0.360
0.045 0.090 0.400
0.685 0.370 0.458



KTl3Pd2 (PBE, optimized geometry); magnetization = 0.00 μB per formula unit; theoretical density = 9501 kg/m3; E_tot = -3.2496 eV/atom; symmetry = No. 63; V = 25.20 A^3/atom
1.0
5.988 0.000 0.000
0.000 7.116 0.663
0.000 -1.723 6.936
K Tl Pd
2 6 4
direct
0.250 0.399 0.399
0.750 0.601 0.601
0.750 0.439 0.093
0.750 0.093 0.439
0.250 0.561 0.907
0.750 0.952 0.952
0.250 0.048 0.048
0.250 0.907 0.561
0.500 0.779 0.221
0.000 0.779 0.221
0.000 0.221 0.779
0.500 0.221 0.779



KTl2Pd (PBE, optimized geometry); magnetization = 0.00 μB per formula unit; theoretical density = 7407 kg/m3; E_tot = -2.8775 eV/atom; symmetry = No. 160; V = 31.07 A^3/atom
1.0
-1.828 1.960 3.812
-0.589 -2.532 3.867
5.249 1.504 4.592
K Tl Pd
1 2 1
direct
0.496 0.496 0.512
0.051 0.051 0.848
0.282 0.282 0.154
0.671 0.671 0.986



KTlPd (PBE, optimized geometry); magnetization = 0.00 μB per formula unit; theoretical density = 6117 kg/m3; E_tot = -2.9849 eV/atom; symmetry = No. 187; V = 31.66 A^3/atom
1.0
4.943 0.000 0.000
0.000 4.710 0.000
0.000 -2.355 4.079
Tl K Pd
1 1 1
direct
0.166 0.000 0.000
0.666 0.333 0.667
0.167 0.667 0.333



KTl8Pd2 (PBE, optimized geometry); magnetization = 0.00 μB per formula unit; theoretical density = 7784 kg/m3; symmetry = No. 123; offset from the most stable computed form = 0.069 eV/atom; V = 36.60 A^3/atom
1.0
6.608 0.000 0.000
0.000 6.608 0.000
0.000 0.000 9.219
K Tl Pd
1 8 2
direct
0.500 0.500 0.500
0.752 0.752 0.188
0.752 0.248 0.812
0.752 0.752 0.812
0.752 0.248 0.188
0.248 0.752 0.188
0.248 0.752 0.812
0.248 0.248 0.188
0.248 0.248 0.812
0.500 0.000 0.000
0.000 0.500 0.000



KTl4Pd2 (PBE, optimized geometry); magnetization = 0.00 μB per formula unit; theoretical density = 9915 kg/m3; symmetry = No. 62; offset from the most stable computed form = 0.000 eV/atom; V = 25.59 A^3/atom
1.0
4.907 0.000 0.000
0.000 7.418 0.000
0.000 0.000 19.684
K Tl Pd
4 16 8
direct
0.750 0.990 0.640
0.250 0.010 0.360
0.250 0.490 0.860
0.750 0.510 0.140
0.250 0.271 0.694
0.750 0.729 0.306
0.750 0.771 0.806
0.250 0.229 0.194
0.250 0.697 0.682
0.750 0.303 0.318
0.750 0.197 0.818
0.250 0.803 0.182
0.250 0.147 0.532
0.750 0.853 0.468
0.750 0.647 0.968
0.250 0.353 0.032
0.250 0.496 0.428
0.750 0.504 0.572
0.750 0.996 0.072
0.250 0.004 0.928
0.250 0.745 0.538
0.750 0.255 0.462
0.750 0.245 0.962
0.250 0.755 0.038
0.250 0.974 0.785
0.750 0.026 0.215
0.750 0.474 0.715
0.250 0.526 0.285